(1)
This record from the Alexandria database describes a relaxed Ca2TbO crystal. The functional is PBE.

```
data_Ca2TbO
_symmetry_space_group_name_H-M 'R -3 m'
_symmetry_Int_Tables_number 166
_symmetry_space_group_name_Hall '-R 3 2"'
_cell_length_a 3.4585
_cell_length_b 3.4585
_cell_length_c 28.9681
_cell_angle_alpha 90.00
_cell_angle_beta 90.00
_cell_angle_gamma 120.00
loop_
_atom_site_label
_atom_site_fract_x
_atom_site_fract_y
_atom_site_fract_z
_atom_site_occupancy
Ca1 0.0000 0.0000 0.1181 1
Tb1 0.0000 0.0000 0.0000 1
O1 0.0000 0.0000 0.5000 1
```

Output
Energy = -55.451 eV/cell
Formation energy from raw total energies = -472 kJ/mol of formula units
Total moment = 0.00 μB per formula unit

---

(2)
This record from the Alexandria database describes a relaxed CaTb3O6 crystal. The functional is PBE.

```
data_CaTb3O6
_symmetry_space_group_name_H-M 'R -3'
_symmetry_Int_Tables_number 148
_symmetry_space_group_name_Hall '-R 3'
_cell_length_a 9.7074
_cell_length_b 9.7074
_cell_length_c 11.4566
_cell_angle_alpha 90.00
_cell_angle_beta 90.00
_cell_angle_gamma 120.00
loop_
_atom_site_label
_atom_site_fract_x
_atom_site_fract_y
_atom_site_fract_z
_atom_site_occupancy
Ca1 0.0000 0.0000 0.0000 1
Ca2 0.0000 0.0000 0.5000 1
Tb1 0.0403 0.2660 0.2097 1
O1 0.0252 0.2266 0.4036 1
O2 0.0286 0.1863 0.8639 1
```

Output
Energy = -463.958 eV/cell
Formation energy from raw total energies = -3057 kJ/mol of formula units
Total moment = 1.09 μB per formula unit

---

(3)
This record from the Alexandria database describes a relaxed Ca6TbO8 crystal. The functional is PBE.

```
data_Ca6TbO8
_symmetry_space_group_name_H-M 'F m -3 m'
_symmetry_Int_Tables_number 225
_symmetry_space_group_name_Hall '-F 4 2 3'
_cell_length_a 9.717
_cell_length_b 9.717
_cell_length_c 9.717
_cell_angle_alpha 90.00
_cell_angle_beta 90.00
_cell_angle_gamma 90.00
loop_
_atom_site_label
_atom_site_fract_x
_atom_site_fract_y
_atom_site_fract_z
_atom_site_occupancy
Ca1 0.000 0.250 0.250 1
Tb1 0.000 0.000 0.000 1
O1 0.000 0.000 0.232 1
O2 0.250 0.250 0.250 1
```

Output
Energy = -396.857 eV/cell
Formation energy from raw total energies = -4140 kJ/mol of formula units
Total moment = 1.05 μB per formula unit

---

(4)
This record from the Alexandria database describes a relaxed CaTbO crystal. The functional is PBE.

```
data_CaTbO
_symmetry_space_group_name_H-M 'C 1 2/m 1'
_symmetry_Int_Tables_number 12
_cell_length_a 13.269
_cell_length_b 3.533
_cell_length_c 6.169
_cell_angle_alpha 90.00
_cell_angle_beta 116.74
_cell_angle_gamma 90.00
loop_
_symmetry_equiv_pos_as_xyz
'x,y,z'
'-x,-y,-z'
'-x,y,-z'
'x,-y,z'
'x+1/2,y+1/2,z'
'-x+1/2,-y+1/2,-z'
'-x+1/2,y+1/2,-z'
'x+1/2,-y+1/2,z'
loop_
_atom_site_label
_atom_site_fract_x
_atom_site_fract_y
_atom_site_fract_z
_atom_site_occupancy
Ca1 0.133 0.000 0.469 1
Tb1 0.133 0.500 0.968 1
O1 0.246 0.000 0.233 1
```

Output
Energy = -66.865 eV/cell
Formation energy from raw total energies = -495 kJ/mol of formula units
Relative energy among the computed polymorphs = 20 meV/atom
Total moment = 1.06 μB per formula unit

---

(5)
This record from the Alexandria database describes a relaxed CaTbO2 crystal. The functional is PBE.

```
data_CaTbO2
_symmetry_space_group_name_H-M 'R -3 m'
_symmetry_Int_Tables_number 166
_symmetry_space_group_name_Hall '-R 3 2"'
_cell_length_a 3.3920
_cell_length_b 3.3920
_cell_length_c 17.0446
_cell_angle_alpha 90.00
_cell_angle_beta 90.00
_cell_angle_gamma 120.00
loop_
_atom_site_label
_atom_site_fract_x
_atom_site_fract_y
_atom_site_fract_z
_atom_site_occupancy
Ca1 0.0000 0.0000 0.0000 1
Tb1 0.0000 0.0000 0.5000 1
O1 0.0000 0.0000 0.2501 1
```

Output
Energy = -83.942 eV/cell
Formation energy from raw total energies = -1103 kJ/mol of formula units
Relative energy among the computed polymorphs = 0 meV/atom
Total moment = 0.00 μB per formula unit

---

(6)
This record from the Alexandria database describes a relaxed CaTbTe2O8 crystal. The functional is PBE.

```
data_CaTbTe2O8
_symmetry_space_group_name_H-M 'I -4'
_symmetry_Int_Tables_number 82
_cell_length_a 5.326
_cell_length_b 5.326
_cell_length_c 11.460
_cell_angle_alpha 90.00
_cell_angle_beta 90.00
_cell_angle_gamma 90.00
loop_
_symmetry_equiv_pos_as_xyz
'x,y,z'
'y,-x,-z'
'-x,-y,z'
'-y,x,-z'
'x+1/2,y+1/2,z+1/2'
'y+1/2,-x+1/2,-z+1/2'
'-x+1/2,-y+1/2,z+1/2'
'-y+1/2,x+1/2,-z+1/2'
loop_
_atom_site_label
_atom_site_fract_x
_atom_site_fract_y
_atom_site_fract_z
_atom_site_occupancy
Ca1 0.000 0.000 0.000 1
Tb1 0.000 0.500 0.750 1
Te1 0.000 0.000 0.500 1
Te2 0.000 0.500 0.250 1
O1 0.171 0.259 0.592 1
O2 0.175 0.745 0.166 1
```

Output
Energy = -149.510 eV/cell
Formation energy from raw total energies = -2140 kJ/mol of formula units
Total moment = 0.79 μB per formula unit

---

(7)
This record from the Alexandria database describes a relaxed CaTb2TiO6 crystal. The functional is PBE.

```
data_CaTb2TiO6
_symmetry_space_group_name_H-M 'P 4 m m'
_symmetry_Int_Tables_number 99
_cell_length_a 5.336
_cell_length_b 5.336
_cell_length_c 5.243
_cell_angle_alpha 90.00
_cell_angle_beta 90.00
_cell_angle_gamma 90.00
loop_
_symmetry_equiv_pos_as_xyz
'x,y,z'
'-y,x,z'
'-x,-y,z'
'y,-x,z'
'-x,y,z'
'y,x,z'
'x,-y,z'
'-y,-x,z'
loop_
_atom_site_label
_atom_site_fract_x
_atom_site_fract_y
_atom_site_fract_z
_atom_site_occupancy
Ca1 0.000 0.000 0.000 1
Tb1 0.000 0.500 0.425 1
Ti1 0.500 0.500 0.047 1
O1 0.000 0.000 0.583 1
O2 0.266 0.266 0.189 1
O3 0.500 0.500 0.697 1
```

Output
Energy = -80.097 eV/cell
Formation energy from raw total energies = -3009 kJ/mol of formula units
Total moment = 0.02 μB per formula unit

---

(8)
This record from the Alexandria database describes a relaxed Ca2TbTlO crystal. The functional is PBE.

```
data_Ca2TbTlO
_symmetry_space_group_name_H-M 'P 4/m m m'
_symmetry_Int_Tables_number 123
_symmetry_space_group_name_Hall '-P 4 2'
_cell_length_a 4.830
_cell_length_b 4.830
_cell_length_c 4.883
_cell_angle_alpha 90.00
_cell_angle_beta 90.00
_cell_angle_gamma 90.00
loop_
_atom_site_label
_atom_site_fract_x
_atom_site_fract_y
_atom_site_fract_z
_atom_site_occupancy
Ca1 0.000 0.500 0.000 1
Tb1 0.000 0.000 0.500 1
Tl1 0.500 0.500 0.500 1
O1 0.000 0.000 0.000 1
```

Output
Energy = -22.923 eV/cell
Formation energy from raw total energies = -672 kJ/mol of formula units
Total moment = 0.00 μB per formula unit